# 1
Compound: Ac3Nd3Er2
Source: Alexandria
Functional: GGA-PBE
Structure: optimized geometry

Cell: 6.142 6.158 7.914 Å, 90.00 90.00 90.00°
Space group Pmmm (No. 47)
Unique sites:
Ac1 0.000 0.000 0.000 (multiplicity 1)
Ac2 0.000 0.000 0.500 (multiplicity 1)
Ac3 0.500 0.500 0.000 (multiplicity 1)
Nd1 0.500 0.000 0.259 (multiplicity 2)
Nd2 0.500 0.500 0.500 (multiplicity 1)
Er1 0.000 0.500 0.259 (multiplicity 2)

Values from the calculation:
- ΔE_f (kJ/mol of formula units) = 86.5
- D(E_F) (states/eV/f.u.) = 15.58

=====

# 2
Compound: Ac3Nd3Er
Source: Alexandria
Functional: GGA-PBE
Structure: optimized geometry

Cell: 10.887 6.037 16.694 Å, 90.00 90.00 90.00°
Space group Pnma (No. 62)
Unique sites:
Ac1 0.059 0.250 0.092 (multiplicity 4)
Ac2 0.190 0.250 0.386 (multiplicity 4)
Ac3 0.223 0.250 0.606 (multiplicity 4)
Nd1 0.081 0.750 0.280 (multiplicity 4)
Nd2 0.096 0.750 0.497 (multiplicity 4)
Nd3 0.130 0.250 0.854 (multiplicity 4)
Er1 0.126 0.750 0.715 (multiplicity 4)

Values from the calculation:
- ΔE_f (kJ/mol of formula units) = 68.6
- D(E_F) (states/eV/f.u.) = 9.94

=====

# 3
Compound: AcNd12Er6
Source: Alexandria
Functional: GGA-PBE
Structure: optimized geometry

Cell: 13.5645 13.5645 12.6840 Å, 90.00 90.00 120.00°
Space group R-3m (No. 166, hexagonal axes)
Unique sites:
Ac1 0.0000 0.0000 0.0000 (multiplicity 3)
Nd1 0.0000 0.2589 0.5000 (multiplicity 18)
Nd2 0.0911 0.1823 0.2624 (multiplicity 18)
Er1 0.0368 0.5184 0.6215 (multiplicity 18)

Values from the calculation:
- ΔE_f (kJ/mol of formula units) = 346.3
- D(E_F) (states/eV/f.u.) = 36.57